Computed, not measured: a relaxed structure of PmGdThAl at the GGA-PBE level of DFT.

Structure (extended XYZ):
```
4
Lattice="0.0000 3.8421 3.8421 3.8421 0.0000 3.8421 3.8421 3.8421 0.0000" Properties=species:S:1:pos:R:3 pbc="T T T"
Pm 0.0000 0.0000 0.0000
Gd 5.7631 5.7631 5.7631
Th 1.9210 1.9210 1.9210
Al 3.8421 3.8421 3.8421
```

Results
As for the energy of formation from the pure elements: 0.01 eV/atom.

***

Computed, not measured: a relaxed structure of TcAgO2 at the GGA-PBE level of DFT.

Structure (extended XYZ):
```
16
Lattice="-3.0296 3.0296 5.8984 3.0296 -3.0296 5.8984 3.0296 3.0296 -5.8984" Properties=species:S:1:pos:R:3 pbc="T T T"
Tc 0.0000 0.0000 0.0000
Tc 1.5148 1.5148 -2.9492
Tc 1.5148 -1.5148 2.9492
Tc 0.0000 3.0296 0.0000
Ag 3.0296 0.0000 0.0000
Ag -1.5148 1.5148 2.9492
Ag 0.0000 0.0000 5.8984
Ag 1.5148 1.5148 2.9492
O 3.0296 -0.3200 2.3316
O 3.0296 2.7096 -2.3316
O 1.1948 1.5148 0.6176
O 1.8349 -1.5148 6.5160
O 1.1948 4.5445 -0.6176
O 1.8349 1.5148 5.2808
O 0.0000 0.3200 8.2300
O 0.0000 3.3497 3.5668
```

Results
Its formation energy from raw total energies is -0.27 eV/atom.

***

Computed, not measured: a relaxed structure of ScAlAu at the GGA-PBE level of DFT.

Structure (extended XYZ):
```
3
Lattice="0.0000 3.2222 3.2222 3.2222 0.0000 3.2222 3.2222 3.2222 0.0000" Properties=species:S:1:pos:R:3 pbc="T T T"
Sc 0.0000 0.0000 0.0000
Al 4.8333 4.8333 4.8333
Au 1.6111 1.6111 1.6111
```

Results
As for the energy of formation from the pure elements: -0.07 eV/atom.

***

| no. | M_tot (μB per cell) | N(E_F) (states/eV per cell) |
| --- | --- | --- |
| 1 | 7.61 | 5.47 |
| 2 | 7.09 | 13.13 |
| 3 | 0.00 | 3.48 |